Computed, not measured: a relaxed VTe4O12 crystal at the PBE with a Hubbard U level of DFT.

**Uncorrected energy**: -97.193 eV for the cell shown
**Crystal system**: triclinic
**Total magnetic moment**: 0.06 μB per atom

Cell and atoms, written as CIF:
```
data_VTe4O12
_symmetry_space_group_name_H-M 'P 1'
_symmetry_Int_Tables_number 1
_symmetry_space_group_name_Hall 'P 1'
_cell_length_a 5.147
_cell_length_b 5.834
_cell_length_c 8.140
_cell_angle_alpha 79.10
_cell_angle_beta 89.35
_cell_angle_gamma 88.20
loop_
_atom_site_label
_atom_site_fract_x
_atom_site_fract_y
_atom_site_fract_z
_atom_site_occupancy
V1 0.985 0.638 0.294 1
Te1 0.024 0.955 0.966 1
Te2 0.486 0.483 0.504 1
Te3 0.045 0.032 0.521 1
Te4 0.490 0.421 0.956 1
O1 0.683 0.754 0.401 1
O2 0.876 0.980 0.734 1
O3 0.703 0.118 0.011 1
O4 0.798 0.332 0.426 1
O5 0.177 0.268 0.910 1
O6 0.622 0.495 0.725 1
O7 0.295 0.452 0.299 1
O8 0.867 0.647 0.076 1
O9 0.173 0.664 0.534 1
O10 0.310 0.780 0.898 1
O11 0.118 0.929 0.204 1
O12 0.349 0.172 0.601 1
```